Record 1
The following is a PBE calculation of crystalline La3Pm5 at its relaxed geometry, from Alexandria.

The offset from the most stable computed form is 3 meV/atom.

The space group is P4/mmm (No. 123) and the conventional cell measures 3.6968, 3.6968 and 20.7769 Å, with angles of 90.00, 90.00 and 90.00 degrees. The asymmetric unit holds La at (0.0000, 0.0000, 0.0000), La at (0.5000, 0.5000, 0.3749), Pm at (0.0000, 0.0000, 0.2490), Pm at (0.0000, 0.0000, 0.5000) and Pm at (0.5000, 0.5000, 0.1263).


Record 2
The following is a PBE calculation of crystalline LaPm7 at its relaxed geometry, from Alexandria.

The space group is Fm-3m (No. 225) and the conventional cell measures 10.3649, 10.3649 and 10.3649 Å, with angles of 90.00, 90.00 and 90.00 degrees. The asymmetric unit holds La at (0.0000, 0.0000, 0.0000), Pm at (0.0000, 0.0000, 0.5000) and Pm at (0.0000, 0.2500, 0.2500).


Record 3
The following is a PBE calculation of crystalline La3Pm7 at its relaxed geometry, from Alexandria.

The offset from the most stable computed form is 145 meV/atom.

The space group is P6_3mc (No. 186) and the conventional cell measures 11.1028, 11.1028 and 6.6133 Å, with angles of 90.00, 90.00 and 120.00 degrees. The asymmetric unit holds La at (0.2082, 0.4164, 0.0000), Pm at (0.0559, 0.5279, 0.6363), Pm at (0.1176, 0.2353, 0.4800) and Pm at (0.3333, 0.6667, 0.3742).


Record 4
The following is a PBE calculation of crystalline La5Pm6Pr2 at its relaxed geometry, from Alexandria.

The space group is Pbam (No. 55) and the conventional cell measures 12.0214, 21.1225 and 3.6931 Å, with angles of 90.00, 90.00 and 90.00 degrees. The asymmetric unit holds La at (0.0000, 0.0000, 0.0000), La at (0.0797, 0.2766, 0.0000), La at (0.2015, 0.5509, 0.0000), Pm at (0.0591, 0.4221, 0.5000), Pm at (0.0776, 0.1334, 0.5000), Pm at (0.1809, 0.8675, 0.0000) and Pr at (0.1756, 0.7147, 0.5000).


Record 5
The following is a PBE calculation of crystalline LaPmPr4 at its relaxed geometry, from Alexandria.

The offset from the most stable computed form is 187 meV/atom.

The space group is F-43m (No. 216) and the conventional cell measures 9.5983, 9.5983 and 9.5983 Å, with angles of 90.00, 90.00 and 90.00 degrees. The asymmetric unit holds La at (0.0000, 0.0000, 0.0000), Pm at (0.2500, 0.2500, 0.2500) and Pr at (0.1245, 0.1245, 0.6245).


Record 6
The following is a PBE calculation of crystalline La5Pm3Pr4 at its relaxed geometry, from Alexandria.

The offset from the most stable computed form is 0 meV/atom.

The space group is P-1 (No. 2) and the conventional cell measures 6.4198, 7.4036 and 9.1082 Å, with angles of 90.12, 90.02 and 90.11 degrees. The asymmetric unit holds La at (0.0000, 0.0000, 0.0000), La at (0.3325, 0.5006, 0.3335), La at (0.4995, 0.2513, 0.9997), Pm at (0.0000, 0.5000, 0.0000), Pm at (0.1669, 0.2505, 0.6669), Pr at (0.1663, 0.7502, 0.6662) and Pr at (0.3343, 0.9994, 0.3339).


Which calculated formation energy belongs to each record? In order, 1.9 0.9 15.5 7.8 22.3 1.3 kJ/mol of atoms.
Which density belongs to each record? In order, 6.68 6.88 6.73 6.54 6.37 6.49 Mg/m³.